No. 1
A relaxed CdHg4W crystal, computed with PBE-GGA.

- Formation enthalpy at 0 K: 5.81 eV/f.u.
- SG: F-43m, No. 216
- DOS at the Fermi energy: 3.52 states/eV/cell

The structure in extended XYZ format:
```
6
Lattice="0.0000 4.1011 4.1011 4.1011 0.0000 4.1011 4.1011 4.1011 0.0000" Properties=species:S:1:pos:R:3 pbc="T T T"
Hg 3.0776 5.1246 5.1246
Cd 0.0000 0.0000 0.0000
Hg 3.0776 3.0776 3.0776
Hg 5.1246 5.1246 3.0776
Hg 5.1246 3.0776 5.1246
W 6.1516 6.1516 6.1516
```

No. 2
A relaxed LaMoAsBr2 crystal, computed with PBE-GGA.

- Formation energy from raw total energies: -0.2819 eV per atom
- SG: P4/mmm, No. 123
- DOS at the Fermi energy: 4.65 states/eV/cell
- Energy above the lowest structure with this stoichiometry: 0.0 meV/atom

The structure in extended XYZ format:
```
5
Lattice="5.0760 0.0000 0.0000 0.0000 5.0760 0.0000 0.0000 0.0000 5.0413" Properties=species:S:1:pos:R:3 pbc="T T T"
As 0.0000 0.0000 2.5206
Mo 0.0000 0.0000 0.0000
Br 0.0000 2.5380 0.0000
La 2.5380 2.5380 2.5206
Br 2.5380 0.0000 0.0000
```

No. 3
A relaxed PaAsPdSe crystal, computed with PBE-GGA.

- Formation energy from raw total energies: -0.7403 eV per atom
- SG: F-43m, No. 216
- DOS at the Fermi energy: 1.82 states/eV/cell
- Energy above the lowest structure with this stoichiometry: 208.6 meV/atom

The structure in extended XYZ format:
```
4
Lattice="4.8269 0.0000 0.0000 2.4135 4.1802 0.0000 2.4135 1.3934 3.9412" Properties=species:S:1:pos:R:3 pbc="T T T"
Se 7.2404 4.1802 2.9559
Pa 0.0000 0.0000 0.0000
As 2.4135 1.3934 0.9853
Pd 4.8269 2.7868 1.9706
```

No. 4
A relaxed Hf12Ti3Tc5 crystal, computed with PBE-GGA.

- Formation enthalpy at 0 K: 17.90 eV/f.u.
- SG: Ia-3d, No. 230
- DOS at the Fermi energy: 99.93 states/eV/cell

The structure in extended XYZ format:
```
80
Lattice="-8.4605 5.8261 8.7852 4.0796 -11.9183 4.9005 10.7282 7.9988 -1.9052" Properties=species:S:1:pos:R:3 pbc="T T T"
Hf -2.7211 -5.9087 11.7302
Hf 2.0516 11.2647 6.9866
Hf -1.4522 5.4411 8.2888
Hf -3.4895 3.2314 9.7442
Tc 6.0252 -5.2109 4.0591
Hf 4.9459 5.4023 8.9608
Ti 4.2882 5.1711 5.8996
Hf -2.6801 4.7972 5.2048
Hf -2.4839 1.4913 5.6341
Hf -0.6252 2.2066 8.3667
Hf 8.0994 3.5231 2.8456
Hf 4.0694 -1.1523 4.7169
Tc 7.4039 -1.9598 1.4977
Hf 4.9992 1.9835 0.6017
Hf 1.6626 6.1498 5.8382
Hf -3.8937 0.1576 10.8584
Tc 3.1736 0.9533 5.8903
Ti 9.3495 4.7476 0.6562
Hf 4.6847 -4.2431 5.9423
Tc 1.1338 6.9125 3.4400
Hf 6.6973 6.7188 4.6120
Tc 0.9639 -4.7875 9.3024
Ti 3.9294 -1.0597 9.6861
Ti 2.0591 -3.2644 5.8810
Tc 0.0000 0.0000 0.0000
Ti 9.8218 1.0065 3.5921
Hf -1.7521 -1.6165 8.9350
Ti -3.0022 -2.8410 11.1243
Hf 4.2957 -9.3581 4.7939
Tc 3.1543 -1.7414 2.4595
Ti 10.5582 -3.7012 3.9572
Hf 6.9725 -0.3000 3.4138
Hf 8.8312 0.4153 6.1464
Ti -4.2109 5.6078 7.8233
Hf 9.0274 -2.8906 6.5757
Hf 3.2316 5.5042 2.9619
Tc 2.0398 -5.9592 2.4503
Hf 2.1756 0.2772 1.3426
Hf 11.4770 -1.2642 4.9927
Tc -4.2303 2.9131 4.3926
Tc -0.8118 0.2051 4.2814
Hf 3.1157 -3.5975 8.8187
Tc 0.3221 7.1175 7.7214
Hf 4.3372 7.8383 6.7591
Hf 10.2409 1.7490 0.9222
Hf 6.6569 5.5257 0.6634
Tc 5.3834 6.6941 2.4781
Hf 2.0101 -5.9317 5.0214
Ti -3.4745 0.9001 8.1885
Hf 1.4014 -3.4957 2.8197
Hf 7.0499 -7.3975 4.7291
Tc 3.1930 3.6480 9.3210
Hf 9.0683 7.8154 0.0503
Hf -0.7026 9.3042 7.0514
Hf 4.4083 2.7389 4.5119
Hf 6.7447 3.9573 6.4891
Ti 2.4179 2.9663 2.0944
Ti 6.5921 -1.7547 5.7791
Hf -0.3500 -4.8122 7.1686
Hf 7.7995 -3.5345 3.4917
Hf -0.3974 -2.0506 5.2915
Hf 5.0532 0.3435 7.5359
Hf 1.9390 -0.8323 7.2687
Hf 2.2779 3.0589 7.0636
Tc 7.1591 1.7015 7.4991
Tc 3.5517 9.8788 5.5344
Tc 2.7956 -7.9721 6.2461
Hf 1.2941 1.5631 4.2446
Ti -0.2448 3.6613 6.0014
Hf 1.3480 -0.0769 11.1788
Hf -5.1297 3.1708 6.7879
Hf 0.0480 4.5825 3.3707
Tc -2.1904 -3.0461 6.8429
Hf 6.2993 -2.6759 8.4099
Tc 5.3641 3.9994 -0.9526
Hf -0.3096 -3.6191 11.1171
Hf 4.1717 1.6295 10.4380
Tc 0.2274 -0.0798 8.9373
Tc 6.1198 1.9864 2.8433
Hf 9.8368 -1.3248 2.0364
```

No. 5
A relaxed La4CdRh crystal, computed with PBE-GGA.

- Formation enthalpy at 0 K: -2.67 eV/f.u.
- SG: F-43m, No. 216
- DOS at the Fermi energy: 22.37 states/eV/cell
- Energy above the lowest structure with this stoichiometry: 0.0 meV/atom

The structure in extended XYZ format:
```
24
Lattice="-8.3528 2.9958 4.8390 0.5941 3.3127 9.5306 -1.4182 9.7967 2.0428" Properties=species:S:1:pos:R:3 pbc="T T T"
La -8.0938 11.4126 14.6638
Cd -4.2200 3.6987 4.3370
La -4.9029 10.2682 12.8153
La -2.2442 11.2017 10.3031
La -1.3610 5.1008 9.0310
Rh -1.9519 8.5010 7.8860
Cd -1.3762 3.7995 5.8283
La -5.6716 12.7452 9.9548
La -4.2452 10.3140 7.3988
La -6.5627 6.9664 12.0444
Rh -5.8454 8.3631 5.8443
La -5.4446 14.0106 13.5956
Rh -4.9697 5.5415 9.1028
La -3.6894 6.4747 6.5982
La -8.3207 10.1471 11.0230
La -7.8159 11.0044 7.3814
Cd -2.0158 5.8605 3.4482
La -2.6142 9.1387 4.3680
La -3.4565 7.7729 10.3332
Cd -1.5650 2.7465 2.7989
La -6.9327 4.9035 6.1093
Rh -5.5868 9.8047 9.9918
La -8.8625 13.8896 11.8034
La -6.9628 7.6488 8.4946
```

No. 6
A relaxed Al2Zn2Cu crystal, computed with PBE-GGA.

- Formation enthalpy at 0 K: 0.59 eV/f.u.
- SG: P4/mbm, No. 127
- DOS at the Fermi energy: 3.06 states/eV/cell
- Energy above the lowest structure with this stoichiometry: 121.5 meV/atom

The structure in extended XYZ format:
```
10
Lattice="-2.4569 4.4878 -3.8707 -5.1910 0.3921 3.7495 1.7145 2.7389 2.0873" Properties=species:S:1:pos:R:3 pbc="T T T"
Cu -3.8239 2.4399 -0.0606
Zn -2.2115 0.7713 0.8045
Cu 0.0000 0.0000 0.0000
Zn -2.3026 2.9293 -1.9524
Zn -5.4364 4.1086 -0.9257
Zn -5.3453 1.9506 1.8312
Al -2.9397 5.2523 -0.9324
Al -0.8200 2.9410 0.3592
Al -2.9937 2.3665 2.8985
Al -5.1134 4.6777 1.6069
```

Asked for ρ across the records above, the calculation gives 13.22, 6.00, 10.26, 9.70, 7.01, 5.21 g cm⁻³ in order.